[1]
# LiZrIn2

LiZrIn2 after structural relaxation (GGA-PBE, Alexandria via LeMat-Bulk).

As for the magnetization: 0.00 μB/f.u. As for the formation energy from the elements: -36 kJ/mol of formula units. For the density of states at the Fermi level, the calculation gives 1.97 states/eV/f.u.

The space group is C2/m (No. 12) and the conventional cell measures 9.296, 3.064 and 6.265 Å, with angles of 90.00, 97.27 and 90.00 degrees. The distinct sites, in fractional coordinates, are Li at (0.000, 0.000, 0.000), Zr at (0.000, 0.500, 0.500) and In at (0.248, 0.500, 0.228).

---

[2]
# LiZr2In

LiZr2In after structural relaxation (GGA-PBE, Alexandria via LeMat-Bulk).

As for the magnetization: 0.00 μB/f.u. As for the formation energy from the elements: -20 kJ/mol of formula units. For the density of states at the Fermi level, the calculation gives 3.26 states/eV/f.u.

The space group is Immm (No. 71) and the conventional cell measures 3.547, 4.594 and 10.231 Å, with angles of 90.00, 90.00 and 90.00 degrees. The distinct sites, in fractional coordinates, are Li at (0.000, 0.000, 0.000), Zr at (0.000, 0.500, 0.253) and In at (0.000, 0.000, 0.500).

---

[3]
# LiZr2In

LiZr2In after structural relaxation (GGA-PBE, Alexandria via LeMat-Bulk).

As for the magnetization: 0.00 μB/f.u. As for the formation energy from the elements: -17 kJ/mol of formula units. For the density of states at the Fermi level, the calculation gives 3.65 states/eV/f.u.

The space group is Cmmm (No. 65) and the conventional cell measures 5.763, 8.910 and 3.268 Å, with angles of 90.00, 90.00 and 90.00 degrees. The distinct sites, in fractional coordinates, are Li at (0.000, 0.000, 0.000), Zr at (0.250, 0.250, 0.500) and In at (0.000, 0.500, 0.000).

---

[4]
# LiZrIn2

LiZrIn2 after structural relaxation (GGA-PBE, Alexandria via LeMat-Bulk).

As for the magnetization: 0.00 μB/f.u. As for the formation energy from the elements: 15 kJ/mol of formula units. For the density of states at the Fermi level, the calculation gives 2.58 states/eV/f.u.

The space group is Cmm2 (No. 35) and the conventional cell measures 3.433, 5.301 and 10.216 Å, with angles of 90.00, 90.00 and 90.00 degrees. The distinct sites, in fractional coordinates, are Li at (0.000, 0.000, 0.000), Zr at (0.000, 0.500, 0.742), In at (0.000, 0.000, 0.493) and In at (0.000, 0.500, 0.235).